Entry 1:
Entry from Alexandria via LeMat-Bulk: a relaxed Tb3Mg4Au4 crystal (PBE).

Calculated values
- total energy (eV per atom) = -3.680
- E_form (eV per atom) = -0.646
- space-group type = Immm
- M_tot (μB/cell) = 0.000

abc: 3.953 8.105 9.023
angles: 116.69 102.65 90.00
Sites, in units of the cell vectors:
Tb 0.111 0.111 0.222
Tb 0.889 0.889 0.778
Tb 0.000 0.500 0.000
Mg 0.329 0.139 0.658
Mg 0.671 0.481 0.342
Mg 0.671 0.861 0.342
Mg 0.329 0.519 0.658
Au 0.241 0.741 0.482
Au 0.759 0.259 0.518
Au 0.500 0.796 0.000
Au 0.500 0.204 0.000

Entry 2:
Entry from Alexandria via LeMat-Bulk: a relaxed CaNd2Ag crystal (PBE).

Calculated values
- total energy (eV per atom) = -3.646
- E_form (eV per atom) = -0.049
- space-group type = P4/mmm
- M_tot (μB/cell) = 0.021
- distance to the lowest polymorph of the same formula (eV per atom) = 0.0375

abc: 3.742 3.742 9.350
angles: 90.00 90.00 90.00
Sites, in units of the cell vectors:
Ca 0.500 0.500 0.500
Nd 0.000 0.000 0.802
Nd 0.000 0.000 0.198
Ag 0.500 0.500 0.000

Entry 3:
Entry from Alexandria via LeMat-Bulk: a relaxed CrPdI2 crystal (PBE).

Calculated values
- total energy (eV per atom) = -4.385
- space-group type = I-42d
- raw formation energy (kcal/mol of atoms) = 2.17
- M_tot (μB/cell) = 8.000
- distance to the lowest polymorph of the same formula (eV per atom) = 0.0000

abc: 6.257 6.257 7.757
angles: 66.21 66.21 90.00
Sites, in units of the cell vectors:
I 0.626 0.125 0.250
I 0.124 0.625 0.250
I 0.375 0.374 0.750
I 0.875 0.876 0.750
Cr 0.500 0.500 0.000
Cr 0.250 0.750 0.500
Pd 0.000 0.000 0.000
Pd 0.750 0.250 0.500

Entry 4:
Entry from Alexandria via LeMat-Bulk: a relaxed BeHgOs2 crystal (PBE).

Calculated values
- total energy (eV per atom) = -5.663
- E_form (eV per atom) = 0.959
- space-group type = P4/mmm
- M_tot (μB/cell) = 0.000
- distance to the lowest polymorph of the same formula (eV per atom) = 0.6886

abc: 4.265 4.265 3.222
angles: 90.00 90.00 90.00
Sites, in units of the cell vectors:
Be 0.500 0.000 0.500
Os 0.000 0.000 0.000
Os 0.500 0.500 0.000
Hg 0.000 0.500 0.500

Entry 5:
Entry from Alexandria via LeMat-Bulk: a relaxed In2Pd2Pt3 crystal (PBE).

Calculated values
- total energy (eV per atom) = -5.153
- E_form (eV per atom) = -0.298
- space-group type = C2/m
- M_tot (μB/cell) = 0.000
- distance to the lowest polymorph of the same formula (eV per atom) = 0.0675

abc: 4.041 4.829 8.833
angles: 121.89 90.00 114.73
Sites, in units of the cell vectors:
In 0.455 0.910 0.242
In 0.545 0.090 0.758
Pd 0.226 0.451 0.370
Pd 0.774 0.549 0.630
Pt 0.000 0.000 0.500
Pt 0.693 0.385 0.127
Pt 0.307 0.615 0.873

Entry 6:
Entry from Alexandria via LeMat-Bulk: a relaxed BiIrOsPd crystal (PBE).

Calculated values
- total energy (eV per atom) = -6.842
- E_form (eV per atom) = 0.449
- space-group type = Cm
- M_tot (μB/cell) = 0.000
- distance to the lowest polymorph of the same formula (eV per atom) = 0.0659

abc: 6.792 2.957 8.610
angles: 90.00 121.35 90.00
Sites, in units of the cell vectors:
Bi 0.432 0.000 0.876
Bi 0.432 0.500 0.376
Ir 0.953 0.000 0.099
Ir 0.953 0.500 0.599
Os 0.108 0.000 0.440
Os 0.108 0.500 0.940
Pd 0.704 0.000 0.720
Pd 0.704 0.500 0.220

Entry 7:
Entry from Alexandria via LeMat-Bulk: a relaxed AlCu6Au2 crystal (PBE).

Calculated values
- total energy (eV per atom) = -3.927
- E_form (eV per atom) = -0.052
- space-group type = C2/m
- M_tot (μB/cell) = 0.000

abc: 3.598 6.082 6.728
angles: 63.13 82.95 74.24
Sites, in units of the cell vectors:
Al 0.000 0.000 0.000
Cu 0.163 0.810 0.699
Cu 0.837 0.190 0.301
Cu 0.328 0.343 0.000
Cu 0.163 0.508 0.301
Cu 0.837 0.492 0.699
Cu 0.672 0.657 0.000
Au 0.500 0.839 0.323
Au 0.500 0.161 0.677

Entry 8:
Entry from Alexandria via LeMat-Bulk: a relaxed NbGeI3 crystal (PBE).

Calculated values
- total energy (eV per atom) = -3.440
- space-group type = Pm-3m
- raw formation energy (kcal/mol of atoms) = 9.85
- M_tot (μB/cell) = 4.000
- distance to the lowest polymorph of the same formula (eV per atom) = 0.0000

abc: 5.686 5.686 5.686
angles: 90.00 90.00 90.00
Sites, in units of the cell vectors:
I 0.000 0.500 0.000
I 0.000 0.000 0.500
I 0.500 0.000 0.000
Nb 0.000 0.000 0.000
Ge 0.500 0.500 0.500

Entry 9:
Entry from Alexandria via LeMat-Bulk: a relaxed Ac2PaZn crystal (PBE).

Calculated values
- total energy (eV per atom) = -4.248
- E_form (eV per atom) = 0.499
- space-group type = R-3m
- M_tot (μB/cell) = 0.000
- distance to the lowest polymorph of the same formula (eV per atom) = 0.3433

abc: 3.527 3.527 12.191
angles: 81.68 81.68 60.00
Sites, in units of the cell vectors:
Ac 0.095 0.095 0.716
Ac 0.905 0.905 0.284
Pa 0.000 0.000 0.000
Zn 0.500 0.500 0.500

Entry 10:
Entry from Alexandria via LeMat-Bulk: a relaxed RbBa2Li2Bi2 crystal (PBE).

Calculated values
- total energy (eV per atom) = -2.902
- E_form (eV per atom) = -0.558
- space-group type = R-3m
- M_tot (μB/cell) = 0.923

abc: 5.248 5.248 12.105
angles: 77.48 77.48 60.00
Sites, in units of the cell vectors:
Rb 0.000 0.000 0.000
Ba 0.128 0.128 0.615
Ba 0.872 0.872 0.385
Li 0.594 0.594 0.217
Li 0.406 0.406 0.783
Bi 0.746 0.746 0.763
Bi 0.254 0.254 0.237

Entry 11:
Entry from Alexandria via LeMat-Bulk: a relaxed VMoSe4 crystal (PBE).

Calculated values
- total energy (eV per atom) = -6.225
- space-group type = C2/m
- raw formation energy (kcal/mol of atoms) = -13.30
- M_tot (μB/cell) = 0.000

abc: 3.319 7.275 5.755
angles: 98.18 90.00 103.19
Sites, in units of the cell vectors:
V 0.000 0.000 0.000
Mo 0.500 0.000 0.500
Se 0.882 0.763 0.632
Se 0.118 0.237 0.368
Se 0.384 0.768 0.117
Se 0.616 0.233 0.883

Entry 12:
Entry from Alexandria via LeMat-Bulk: a relaxed CsSn2I6 crystal (PBE).

Calculated values
- total energy (eV per atom) = -2.671
- space-group type = P-31m
- raw formation energy (kcal/mol of atoms) = -15.07
- M_tot (μB/cell) = 0.001
- distance to the lowest polymorph of the same formula (eV per atom) = 0.0000

abc: 8.079 8.079 8.520
angles: 90.00 90.00 120.00
Sites, in units of the cell vectors:
Cs 0.000 0.000 0.000
Sn 0.333 0.667 0.500
Sn 0.667 0.333 0.500
I 0.616 0.000 0.280
I 0.384 0.384 0.280
I 0.000 0.616 0.280
I 0.616 0.616 0.720
I 0.000 0.384 0.720
I 0.384 0.000 0.720